[1]
Here is a relaxed Ba8PdRhAu2 crystal from Alexandria via LeMat-Bulk. Energies are from PBE-GGA.

The space group is P2/m (No. 10) and the conventional cell measures 7.5886, 9.4712 and 7.7856 Å, with angles of 90.00, 90.39 and 90.00 degrees. The distinct sites, in fractional coordinates, are Ba at (0.2195, 0.2425, 0.3316), Ba at (0.2562, 0.0000, 0.8126), Ba at (0.2653, 0.5000, 0.8203), Pd at (0.0000, 0.5000, 0.5000), Rh at (0.0000, 0.0000, 0.5000) and Au at (0.5000, 0.2475, 0.0000).

As for the total magnetization: 0.00 μB/f.u. The calculation puts the formation enthalpy at 0 K at -427 meV per atom.

---

[2]
Here is a relaxed Tb3Ce2Y6Sc crystal from Alexandria via LeMat-Bulk. Energies are from PBE-GGA.

The space group is C2/m (No. 12) and the conventional cell measures 6.1223, 10.6023 and 11.7135 Å, with angles of 90.00, 100.02 and 90.00 degrees. The distinct sites, in fractional coordinates, are Tb at (0.0000, 0.0000, 0.0000), Tb at (0.0000, 0.3341, 0.0000), Ce at (0.0000, 0.1663, 0.5000), Y at (0.2483, 0.3338, 0.7462), Y at (0.2498, 0.0000, 0.7465) and Sc at (0.0000, 0.5000, 0.5000).

As for the total magnetization: 1.81 μB/f.u. The calculation puts the formation enthalpy at 0 K at 56 meV per atom.

---

[3]
Here is a relaxed PmSm14Zr crystal from Alexandria via LeMat-Bulk. Energies are from PBE-GGA.

The space group is P4/mmm (No. 123) and the conventional cell measures 7.2033, 7.2033 and 10.1636 Å, with angles of 90.00, 90.00 and 90.00 degrees. The distinct sites, in fractional coordinates, are Pm at (0.0000, 0.0000, 0.0000), Sm at (0.0000, 0.0000, 0.5000), Sm at (0.0000, 0.5000, 0.0000), Sm at (0.0000, 0.5000, 0.5000), Sm at (0.2559, 0.2559, 0.2441), Sm at (0.5000, 0.5000, 0.5000) and Zr at (0.5000, 0.5000, 0.0000).

As for the total magnetization: 0.00 μB/f.u. The calculation puts the formation enthalpy at 0 K at 44 meV per atom.

---

[4]
Here is a relaxed Ga2IrPd crystal from Alexandria via LeMat-Bulk. Energies are from PBE-GGA.

The space group is R3m (No. 160, hexagonal axes) and the conventional cell measures 3.8990, 3.8990 and 15.2432 Å, with angles of 90.00, 90.00 and 120.00 degrees. The distinct sites, in fractional coordinates, are Ga at (0.0000, 0.0000, 0.0000), Ga at (0.0000, 0.0000, 0.1830), Ir at (0.0000, 0.0000, 0.5993) and Pd at (0.0000, 0.0000, 0.4152).

As for the total magnetization: 0.00 μB/f.u. The calculation puts the formation enthalpy at 0 K at -349 meV per atom.

---

[5]
Here is a relaxed KSnPS2 crystal from Alexandria via LeMat-Bulk. Energies are from PBE-GGA.

The space group is P4/mmm (No. 123) and the conventional cell measures 5.1974, 5.1974 and 5.1392 Å, with angles of 90.00, 90.00 and 90.00 degrees. The distinct sites, in fractional coordinates, are K at (0.0000, 0.0000, 0.0000), Sn at (0.5000, 0.5000, 0.5000), P at (0.5000, 0.5000, 0.0000) and S at (0.0000, 0.5000, 0.5000).

Its raw formation energy is 0.03 eV/atom. As for the total magnetization: 1.53 μB/f.u. The energy above the lowest structure with this stoichiometry comes out at 0.000 eV/atom.

---

[6]
Here is a relaxed Pm9SmHo2 crystal from Alexandria via LeMat-Bulk. Energies are from PBE-GGA.

The space group is P4/mmm (No. 123) and the conventional cell measures 5.1277, 5.1277 and 15.3784 Å, with angles of 90.00, 90.00 and 90.00 degrees. The distinct sites, in fractional coordinates, are Pm at (0.0000, 0.0000, 0.0000), Pm at (0.0000, 0.0000, 0.3345), Pm at (0.0000, 0.5000, 0.1681), Pm at (0.0000, 0.5000, 0.5000), Sm at (0.5000, 0.5000, 0.0000) and Ho at (0.5000, 0.5000, 0.3342).

As for the total magnetization: 0.00 μB/f.u. The calculation puts the formation enthalpy at 0 K at 17 meV per atom.

---

[7]
Here is a relaxed NdSmDy4Ho2 crystal from Alexandria via LeMat-Bulk. Energies are from PBE-GGA.

The space group is Imma (No. 74) and the conventional cell measures 6.8065, 11.7933 and 13.2613 Å, with angles of 90.00, 90.00 and 90.00 degrees. The distinct sites, in fractional coordinates, are Nd at (0.0000, 0.0000, 0.0000), Sm at (0.2500, 0.2500, 0.2500), Dy at (0.0000, 0.0026, 0.7479), Dy at (0.2483, 0.2500, 0.5027), Ho at (0.0000, 0.0000, 0.5000) and Ho at (0.2500, 0.2500, 0.7500).

As for the total magnetization: 3.15 μB/f.u. The calculation puts the formation enthalpy at 0 K at 429 meV per atom.

---

[8]
Here is a relaxed Er4InHgO crystal from Alexandria via LeMat-Bulk. Energies are from PBE-GGA.

The space group is Cmcm (No. 63) and the conventional cell measures 6.5166, 15.8466 and 6.5209 Å, with angles of 90.00, 90.00 and 90.00 degrees. The distinct sites, in fractional coordinates, are Er at (0.0000, 0.0714, 0.2500), Er at (0.0000, 0.4183, 0.2500), Er at (0.2500, 0.2500, 0.0000), In at (0.0000, 0.3876, 0.7500), Hg at (0.0000, 0.1169, 0.7500) and O at (0.0000, 0.2548, 0.2500).

Its raw formation energy is -1.09 eV/atom. As for the total magnetization: 0.00 μB/f.u.

---

[9]
Here is a relaxed Ni2OsPdW crystal from Alexandria via LeMat-Bulk. Energies are from PBE-GGA.

The space group is P4/mmm (No. 123) and the conventional cell measures 4.3780, 4.3780 and 4.7433 Å, with angles of 90.00, 90.00 and 90.00 degrees. The distinct sites, in fractional coordinates, are Ni at (0.0000, 0.5000, 0.0000), Os at (0.0000, 0.0000, 0.0000), Pd at (0.0000, 0.0000, 0.5000) and W at (0.5000, 0.5000, 0.5000).

As for the total magnetization: 0.00 μB/f.u. The calculation puts the formation enthalpy at 0 K at 1980 meV per atom.

---

[10]
Here is a relaxed Pu2SiN crystal from Alexandria via LeMat-Bulk. Energies are from PBE-GGA.

The space group is P4/mmm (No. 123) and the conventional cell measures 3.0538, 3.0538 and 7.2448 Å, with angles of 90.00, 90.00 and 90.00 degrees. The distinct sites, in fractional coordinates, are Pu at (0.0000, 0.0000, 0.2036), Si at (0.5000, 0.5000, 0.5000) and N at (0.5000, 0.5000, 0.0000).

Its raw formation energy is -0.48 eV/atom. As for the total magnetization: 10.42 μB/f.u. The energy above the lowest structure with this stoichiometry comes out at 0.154 eV/atom.

---

[11]
Here is a relaxed SrTl2IrI crystal from Alexandria via LeMat-Bulk. Energies are from PBE-GGA.

The space group is P4/mmm (No. 123) and the conventional cell measures 5.3081, 5.3081 and 5.9251 Å, with angles of 90.00, 90.00 and 90.00 degrees. The distinct sites, in fractional coordinates, are Sr at (0.0000, 0.0000, 0.0000), Tl at (0.0000, 0.5000, 0.5000), Ir at (0.0000, 0.0000, 0.5000) and I at (0.5000, 0.5000, 0.0000).

Its raw formation energy is -0.45 eV/atom. As for the total magnetization: 0.00 μB/f.u.

---

[12]
Here is a relaxed CaCdHg2 crystal from Alexandria via LeMat-Bulk. Energies are from PBE-GGA.

The space group is P4/mmm (No. 123) and the conventional cell measures 4.7439, 4.7439 and 4.5350 Å, with angles of 90.00, 90.00 and 90.00 degrees. The distinct sites, in fractional coordinates, are Ca at (0.0000, 0.0000, 0.0000), Cd at (0.5000, 0.5000, 0.0000) and Hg at (0.0000, 0.5000, 0.5000).

As for the total magnetization: 0.00 μB/f.u. The calculation puts the formation enthalpy at 0 K at -339 meV per atom.

---

Taking the records one at a time from the top gives electronic total energy values of -39.61; -140.40; -78.66; -64.51; -18.60; -56.43; -134.48; -135.43; -31.04; -44.35; -19.10; -4.88 eV per cell.